1.
A relaxed TeIrF crystal, computed with PBE.

Cell and atoms, written as POSCAR:
```
TeIrF
1.0
3.196 -1.846 0.000
3.196 1.846 0.000
-2.108 0.000 5.238
Te Ir F
1 1 1
Cartesian
0.000 0.000 0.000
4.261 0.000 1.368
2.130 0.000 2.542
```

Mass density   9.10 Mg/m³
Size of the total moment   0.00 μB per atom
Uncorrected energy   -5.240 eV/atom
E_form (uncorrected)   -0.62 eV per atom
E above lowest polymorph   28 meV/atom


2.
A relaxed ZrSc2Co crystal, computed with PBE.

Cell and atoms, written as POSCAR:
```
ZrSc2Co
1.0
1.643 0.949 8.932
-1.643 0.949 8.932
0.000 -1.897 8.932
Zr Sc Co
1 2 1
Cartesian
0.000 0.000 0.000
0.000 0.000 6.325
0.000 0.000 12.377
0.000 0.000 19.597
```

Mass density   4.77 Mg/m³
Size of the total moment   0.00 μB per atom
Uncorrected energy   -7.065 eV/atom
E above lowest polymorph   227 meV/atom